1.
## SrGa2AgPd (PBE)

Data for a relaxed SrGa2AgPd crystal.

The structure in POSCAR format:
```
SrGa2AgPd
1.0
4.809 0.000 0.000
0.000 4.809 0.000
0.000 0.000 5.296
Ga Pd Sr Ag
2 1 1 1
Direct
0.500 0.000 0.000
0.000 0.500 0.000
0.000 0.000 0.000
0.500 0.500 0.500
0.000 0.000 0.500
```

For the energy relative to the elements, the calculation gives -297 meV/atom. Its distance to the lowest polymorph of the same formula is 199.3 meV/atom. As for the crystal system: tetragonal. The symmetry is P4/mmm, No. 123.

2.
## SrGa2AgPd (PBE)

Data for a relaxed SrGa2AgPd crystal.

The structure in POSCAR format:
```
SrGa2AgPd
1.0
4.605 0.000 0.000
0.000 4.605 0.000
-2.302 -2.302 5.081
Ag Ga Pd Sr
1 2 1 1
Direct
0.250 0.750 0.500
0.630 0.630 0.259
0.370 0.370 0.741
0.750 0.250 0.500
0.000 0.000 0.000
```

For the energy relative to the elements, the calculation gives -497 meV/atom. Its distance to the lowest polymorph of the same formula is 0.0 meV/atom. As for the crystal system: tetragonal. The symmetry is I-4m2, No. 119.

3.
## Sr2Ga4AgPd3 (PBE)

Data for a relaxed Sr2Ga4AgPd3 crystal.

The structure in POSCAR format:
```
Sr2Ga4AgPd3
1.0
-4.166 1.456 1.019
-1.364 -0.952 -4.213
-2.573 -9.435 2.966
Pd Ga Sr Ag
3 4 2 1
Direct
0.500 0.000 0.877
0.000 0.000 0.500
0.000 0.500 0.123
0.000 0.000 0.000
0.500 0.000 0.628
0.500 0.500 0.000
0.000 0.500 0.372
0.000 0.500 0.750
0.500 0.000 0.250
0.500 0.500 0.500
```

For the energy relative to the elements, the calculation gives -617 meV/atom. As for the crystal system: tetragonal. The symmetry is P-4m2, No. 115.

4.
## Sr2Ga4Ag3Pd (PBE)

Data for a relaxed Sr2Ga4Ag3Pd crystal.

The structure in POSCAR format:
```
Sr2Ga4Ag3Pd
1.0
-0.381 -4.296 1.152
4.395 -0.187 0.756
-1.680 2.965 10.500
Ga Ag Pd Sr
4 3 1 2
Direct
0.000 0.500 0.379
0.500 0.500 0.000
0.000 0.000 0.000
0.500 0.000 0.621
0.000 0.500 0.139
0.000 0.000 0.500
0.500 0.000 0.861
0.500 0.500 0.500
0.500 0.000 0.252
0.000 0.500 0.748
```

For the energy relative to the elements, the calculation gives -394 meV/atom. As for the crystal system: tetragonal. The symmetry is P-4m2, No. 115.

5.
## Sr2Ga2AgPd5 (PBE)

Data for a relaxed Sr2Ga2AgPd5 crystal.

The structure in POSCAR format:
```
Sr2Ga2AgPd5
1.0
3.741 0.000 0.000
0.000 10.178 0.000
0.000 0.000 10.178
Pd Sr Ga Ag
10 4 4 2
Direct
0.500 0.210 0.064
0.500 0.064 0.790
0.500 0.710 0.436
0.500 0.500 0.000
0.500 0.000 0.500
0.500 0.936 0.210
0.500 0.564 0.710
0.500 0.790 0.936
0.500 0.290 0.564
0.500 0.436 0.290
0.000 0.321 0.821
0.000 0.679 0.179
0.000 0.821 0.679
0.000 0.179 0.321
0.000 0.619 0.881
0.000 0.119 0.619
0.000 0.381 0.119
0.000 0.881 0.381
0.000 0.500 0.500
0.000 0.000 0.000
```

For the energy relative to the elements, the calculation gives -543 meV/atom. As for the crystal system: tetragonal. The symmetry is P4/mbm, No. 127.

6.
## SrGa3AgPd (PBE)

Data for a relaxed SrGa3AgPd crystal.

The structure in POSCAR format:
```
SrGa3AgPd
1.0
6.180 0.000 0.000
0.000 6.265 0.000
0.000 -3.133 6.562
Ga Sr Ag Pd
6 2 2 2
Direct
0.500 0.295 0.000
0.750 0.862 0.723
0.250 0.138 0.277
0.500 0.705 0.000
0.000 0.295 0.000
0.000 0.705 0.000
0.250 0.718 0.437
0.750 0.282 0.563
0.750 0.654 0.308
0.250 0.346 0.692
0.250 0.940 0.879
0.750 0.060 0.121
```

For the energy relative to the elements, the calculation gives -326 meV/atom. As for the crystal system: orthorhombic. The symmetry is Cmcm, No. 63.

7.
## SrGa2Ag2Pd (PBE)

Data for a relaxed SrGa2Ag2Pd crystal.

The structure in POSCAR format:
```
SrGa2Ag2Pd
1.0
4.822 0.000 0.000
0.000 4.822 0.000
0.000 0.000 5.975
Ag Pd Ga Sr
2 1 2 1
Direct
0.500 0.500 0.734
0.500 0.500 0.266
0.000 0.000 0.000
0.500 0.000 0.000
0.000 0.500 0.000
0.000 0.000 0.500
```

For the energy relative to the elements, the calculation gives -278 meV/atom. As for the crystal system: tetragonal. The symmetry is P4/mmm, No. 123.

8.
## TaGa2AgPd (PBE)

Data for a relaxed TaGa2AgPd crystal.

The structure in POSCAR format:
```
TaGa2AgPd
1.0
-2.876 3.006 -2.090
-0.295 -3.057 -3.991
-3.651 -2.157 1.922
Ga Ta Ag Pd
2 1 1 1
Direct
0.000 0.000 0.500
0.500 0.000 0.000
0.000 0.500 0.000
0.500 0.500 0.500
0.000 0.000 0.000
```

For the energy relative to the elements, the calculation gives 637 meV/atom. As for the crystal system: tetragonal. The symmetry is P4/mmm, No. 123.

9.
## TbGaAgPd (PBE)

Data for a relaxed TbGaAgPd crystal.

The structure in POSCAR format:
```
TbGaAgPd
1.0
-0.519 1.407 -4.534
-2.089 -2.894 -3.174
-4.341 1.049 -1.693
Ag Tb Pd Ga
1 1 1 1
Direct
0.500 0.500 0.500
0.750 0.750 0.750
0.000 0.000 0.000
0.250 0.250 0.250
```

For the energy relative to the elements, the calculation gives -519 meV/atom. As for the crystal system: cubic. The symmetry is F-43m, No. 216.

10.
## TbGa4AgPd2 (PBE)

Data for a relaxed TbGa4AgPd2 crystal.

The structure in POSCAR format:
```
TbGa4AgPd2
1.0
-3.522 -0.861 -2.363
0.358 -2.256 -3.676
-2.232 -8.548 2.481
Pd Ga Ag Tb
2 4 1 1
Direct
0.758 0.758 0.727
0.242 0.242 0.273
0.123 0.123 0.631
0.877 0.877 0.369
0.605 0.605 0.184
0.395 0.395 0.816
0.500 0.500 0.500
0.000 0.000 0.000
```

For the energy relative to the elements, the calculation gives -488 meV/atom. As for the crystal system: trigonal. The symmetry is R-3m, No. 166.

11.
## Tb2Ga4AgPd3 (PBE)

Data for a relaxed Tb2Ga4AgPd3 crystal.

The structure in POSCAR format:
```
Tb2Ga4AgPd3
1.0
-3.139 -2.300 1.492
1.001 -3.073 -2.631
6.735 -4.282 7.566
Ga Pd Tb Ag
4 3 2 1
Direct
0.500 0.500 0.000
0.000 0.500 0.359
0.000 0.000 0.000
0.500 0.000 0.641
0.000 0.500 0.135
0.000 0.000 0.500
0.500 0.000 0.865
0.500 0.000 0.238
0.000 0.500 0.762
0.500 0.500 0.500
```

For the energy relative to the elements, the calculation gives -683 meV/atom. As for the crystal system: tetragonal. The symmetry is P-4m2, No. 115.

12.
## GaAgTe2Pd (PBE)

Data for a relaxed GaAgTe2Pd crystal.

The structure in POSCAR format:
```
GaAgTe2Pd
1.0
-4.479 -2.988 -0.236
2.047 -2.815 -3.213
1.887 -3.140 3.953
Pd Ga Ag Te
1 1 1 2
Direct
0.000 0.500 0.000
0.000 0.000 0.000
0.500 0.500 0.500
0.000 0.000 0.500
0.500 0.000 0.000
```

The formation energy without anion corrections comes out at 428 meV per atom. As for the crystal system: tetragonal. The symmetry is P4/mmm, No. 123.

13.
## ThGaAgPd (PBE)

Data for a relaxed ThGaAgPd crystal.

The structure in POSCAR format:
```
ThGaAgPd
1.0
4.909 0.000 0.000
2.454 4.251 0.000
2.454 1.417 4.008
Pd Ga Th Ag
1 1 1 1
Direct
0.750 0.750 0.750
0.500 0.500 0.500
0.000 0.000 0.000
0.250 0.250 0.250
```

For the energy relative to the elements, the calculation gives -429 meV/atom. As for the crystal system: cubic. The symmetry is F-43m, No. 216.

14.
## Th2Ga3AgPd4 (PBE)

Data for a relaxed Th2Ga3AgPd4 crystal.

The structure in POSCAR format:
```
Th2Ga3AgPd4
1.0
-1.682 2.046 -3.146
2.573 -1.880 -2.599
-7.723 -8.570 -1.446
Pd Ag Th Ga
4 1 2 3
Direct
0.500 0.500 0.000
0.000 0.000 0.000
0.500 0.000 0.658
0.000 0.500 0.342
0.500 0.500 0.500
0.000 0.500 0.749
0.500 0.000 0.251
0.500 0.000 0.874
0.000 0.000 0.500
0.000 0.500 0.126
```

For the energy relative to the elements, the calculation gives -672 meV/atom. As for the crystal system: tetragonal. The symmetry is P-4m2, No. 115.

15.
## TmGa2AgPd2 (PBE)

Data for a relaxed TmGa2AgPd2 crystal.

The structure in POSCAR format:
```
TmGa2AgPd2
1.0
4.449 0.000 0.000
-2.225 3.853 0.000
0.000 0.000 6.235
Ag Pd Ga Tm
1 2 2 1
Direct
0.000 0.000 0.500
0.333 0.667 0.275
0.667 0.333 0.725
0.667 0.333 0.285
0.333 0.667 0.715
0.000 0.000 0.000
```

For the energy relative to the elements, the calculation gives -624 meV/atom. As for the crystal system: trigonal. The symmetry is P-3m1, No. 164.

16.
## Tm4GaAg2Pd (PBE)

Data for a relaxed Tm4GaAg2Pd crystal.

The structure in POSCAR format:
```
Tm4GaAg2Pd
1.0
-0.849 -2.023 4.501
3.601 -2.625 2.285
3.627 5.288 5.845
Ag Tm Pd Ga
2 4 1 1
Direct
0.747 0.747 0.760
0.253 0.253 0.240
0.378 0.378 0.867
0.127 0.127 0.618
0.622 0.622 0.133
0.873 0.873 0.382
0.500 0.500 0.500
0.000 0.000 0.000
```

For the energy relative to the elements, the calculation gives -555 meV/atom. As for the crystal system: trigonal. The symmetry is R-3m, No. 166.

17.
## TmGaAgPd (PBE)

Data for a relaxed TmGaAgPd crystal.

The structure in POSCAR format:
```
TmGaAgPd
1.0
-0.704 -1.161 4.519
-2.311 -3.969 1.084
2.327 -3.644 1.890
Ag Pd Ga Tm
1 1 1 1
Direct
0.250 0.250 0.250
0.750 0.750 0.750
0.500 0.500 0.500
0.000 0.000 0.000
```

For the energy relative to the elements, the calculation gives -546 meV/atom. As for the crystal system: cubic. The symmetry is F-43m, No. 216.

18.
## Tm2Ga2AgPd5 (PBE)

Data for a relaxed Tm2Ga2AgPd5 crystal.

The structure in POSCAR format:
```
Tm2Ga2AgPd5
1.0
-1.078 -1.325 -3.383
-0.915 -8.890 3.774
-9.255 1.890 2.209
Tm Pd Ga Ag
4 10 4 2
Direct
0.000 0.677 0.177
0.000 0.177 0.323
0.000 0.823 0.677
0.000 0.323 0.823
0.500 0.500 0.000
0.500 0.207 0.068
0.500 0.793 0.932
0.500 0.932 0.207
0.500 0.432 0.293
0.500 0.000 0.500
0.500 0.707 0.432
0.500 0.068 0.793
0.500 0.293 0.568
0.500 0.568 0.707
0.000 0.878 0.378
0.000 0.122 0.622
0.000 0.622 0.878
0.000 0.378 0.122
0.000 0.000 0.000
0.000 0.500 0.500
```

For the energy relative to the elements, the calculation gives -671 meV/atom. As for the crystal system: tetragonal. The symmetry is P4/mbm, No. 127.

19.
## Y2Ga2AgPd5 (PBE)

Data for a relaxed Y2Ga2AgPd5 crystal.

The structure in POSCAR format:
```
Y2Ga2AgPd5
1.0
-0.652 3.143 -2.005
1.833 -4.909 -8.291
-9.486 -2.399 -0.677
Y Ag Pd Ga
4 2 10 4
Direct
0.000 0.177 0.323
0.000 0.677 0.177
0.000 0.823 0.677
0.000 0.323 0.823
0.000 0.500 0.500
0.000 0.000 0.000
0.500 0.292 0.566
0.500 0.708 0.434
0.500 0.434 0.292
0.500 0.792 0.934
0.500 0.500 0.000
0.500 0.066 0.792
0.500 0.000 0.500
0.500 0.934 0.208
0.500 0.566 0.708
0.500 0.208 0.066
0.000 0.121 0.621
0.000 0.621 0.879
0.000 0.879 0.379
0.000 0.379 0.121
```

For the energy relative to the elements, the calculation gives -658 meV/atom. As for the crystal system: tetragonal. The symmetry is P4/mbm, No. 127.

20.
## YGaAgPd (PBE)

Data for a relaxed YGaAgPd crystal.

The structure in POSCAR format:
```
YGaAgPd
1.0
-2.305 1.029 -4.047
0.601 -2.748 -3.852
-3.550 -2.809 -1.503
Y Ag Ga Pd
1 1 1 1
Direct
0.750 0.750 0.750
0.000 0.000 0.000
0.250 0.250 0.250
0.500 0.500 0.500
```

For the energy relative to the elements, the calculation gives -525 meV/atom. As for the crystal system: cubic. The symmetry is F-43m, No. 216.

21.
## YGa3AgPd (PBE)

Data for a relaxed YGa3AgPd crystal.

The structure in POSCAR format:
```
YGa3AgPd
1.0
-4.205 -1.604 4.180
1.896 -5.524 -0.212
3.274 4.029 4.840
Y Ga Pd Ag
2 6 2 2
Direct
0.750 0.302 0.603
0.250 0.698 0.397
0.500 0.285 0.000
0.000 0.285 0.000
0.750 0.868 0.736
0.250 0.132 0.264
0.000 0.715 0.000
0.500 0.715 0.000
0.750 0.090 0.180
0.250 0.910 0.820
0.750 0.661 0.323
0.250 0.339 0.677
```

For the energy relative to the elements, the calculation gives -361 meV/atom. As for the crystal system: orthorhombic. The symmetry is Cmcm, No. 63.

22.
## YGa2AgPd2 (PBE)

Data for a relaxed YGa2AgPd2 crystal.

The structure in POSCAR format:
```
YGa2AgPd2
1.0
4.431 0.000 0.000
-2.215 3.837 0.000
0.000 0.000 6.451
Pd Ga Y Ag
2 2 1 1
Direct
0.333 0.667 0.281
0.667 0.333 0.719
0.667 0.333 0.293
0.333 0.667 0.707
0.000 0.000 0.000
0.000 0.000 0.500
```

For the energy relative to the elements, the calculation gives -638 meV/atom. As for the crystal system: trigonal. The symmetry is P-3m1, No. 164.

23.
## YGa2AgPd (PBE)

Data for a relaxed YGa2AgPd crystal.

The structure in POSCAR format:
```
YGa2AgPd
1.0
5.521 0.000 0.000
0.000 5.032 0.000
0.000 0.000 5.521
Ga Pd Y Ag
2 1 1 1
Direct
0.000 0.000 0.500
0.500 0.000 0.000
0.000 0.500 0.000
0.000 0.000 0.000
0.500 0.500 0.500
```

For the energy relative to the elements, the calculation gives 751 meV/atom. As for the crystal system: tetragonal. The symmetry is P4/mmm, No. 123.

24.
## Pm3Ga4Ag (PBE)

Data for a relaxed Pm3Ga4Ag crystal.

The structure in POSCAR format:
```
Pm3Ga4Ag
1.0
-1.759 1.348 -3.061
-5.804 -2.026 2.443
2.849 7.408 3.958
Pm Ga Ag
3 4 1
Direct
0.213 0.213 0.427
0.000 0.500 0.000
0.787 0.787 0.573
0.381 0.162 0.761
0.619 0.838 0.239
0.381 0.600 0.761
0.619 0.400 0.239
0.500 0.000 0.000
```

For the energy relative to the elements, the calculation gives -356 meV/atom. As for the crystal system: orthorhombic. The symmetry is Immm, No. 71.